# 1
# Ho5Mg2Sn5 | the Alexandria database | PBE | relaxed
data_Ho5Mg2Sn5
_symmetry_space_group_name_H-M 'C 1 2/m 1'
_symmetry_Int_Tables_number 12
_cell_length_a 13.806
_cell_length_b 4.599
_cell_length_c 11.938
_cell_angle_alpha 90.00
_cell_angle_beta 119.48
_cell_angle_gamma 90.00
loop_
_symmetry_equiv_pos_as_xyz
'x,y,z'
'-x,-y,-z'
'-x,y,-z'
'x,-y,z'
'x+1/2,y+1/2,z'
'-x+1/2,-y+1/2,-z'
'-x+1/2,y+1/2,-z'
'x+1/2,-y+1/2,z'
loop_
_atom_site_label
_atom_site_type_symbol
_atom_site_fract_x
_atom_site_fract_y
_atom_site_fract_z
Ho1 Ho 0.000 0.000 0.000
Ho2 Ho 0.149 0.000 0.495
Ho3 Ho 0.153 0.000 0.794
Mg1 Mg 0.089 0.500 0.264
Sn1 Sn 0.000 0.500 0.500
Sn2 Sn 0.126 0.500 0.954
Sn3 Sn 0.234 0.000 0.292
# - calculated formation energy (meV per atom) = -444
# - total magnetization (μB/atom) = 0.00
# - Fermi-level density of states (states/eV/f.u.) = 8.49
# - raw total energy (eV per cell) = -102.84


# 2
# Pu2PaWC4 | the Alexandria database | PBE | relaxed
data_Pu2PaWC4
_symmetry_space_group_name_H-M 'C m c m'
_symmetry_Int_Tables_number 63
_symmetry_space_group_name_Hall '-C 2c 2'
_cell_length_a 3.386
_cell_length_b 11.811
_cell_length_c 12.379
_cell_angle_alpha 90.00
_cell_angle_beta 90.00
_cell_angle_gamma 90.00
loop_
_atom_site_label
_atom_site_type_symbol
_atom_site_fract_x
_atom_site_fract_y
_atom_site_fract_z
Pu1 Pu 0.000 0.134 0.037
Pa1 Pa 0.000 0.385 0.250
W1 W 0.000 0.350 0.750
C1 C 0.000 0.042 0.250
C2 C 0.000 0.234 0.633
C3 C 0.000 0.500 0.000
# - calculated formation energy (meV per atom) = 65
# - total magnetization (μB/atom) = 1.16
# - Fermi-level density of states (states/eV/f.u.) = 11.64
# - raw total energy (eV per cell) = -349.95


# 3
# KSnTe3Au | the Alexandria database | PBE | relaxed
data_KSnTe3Au
_symmetry_space_group_name_H-M 'P 1 21/m 1'
_symmetry_Int_Tables_number 11
_cell_length_a 9.566
_cell_length_b 4.439
_cell_length_c 9.979
_cell_angle_alpha 90.00
_cell_angle_beta 105.49
_cell_angle_gamma 90.00
loop_
_symmetry_equiv_pos_as_xyz
'x,y,z'
'-x,-y,-z'
'-x,y+1/2,-z'
'x,-y+1/2,z'
loop_
_atom_site_label
_atom_site_type_symbol
_atom_site_fract_x
_atom_site_fract_y
_atom_site_fract_z
K1 K 0.188 0.250 0.259
Sn1 Sn 0.333 0.750 0.868
Te1 Te 0.122 0.250 0.878
Te2 Te 0.239 0.750 0.557
Te3 Te 0.456 0.750 0.168
Au1 Au 0.060 0.250 0.587
# - total magnetization (μB/atom) = 0.00
# - Fermi-level density of states (states/eV/f.u.) = 0.78
# - raw total energy (eV per cell) = -40.08


# 4
# Ba2AgGe3Pd12 | the Alexandria database | PBE | relaxed
data_Ba2AgGe3Pd12
_symmetry_space_group_name_H-M 'R -3 m'
_symmetry_Int_Tables_number 166
_symmetry_space_group_name_Hall '-R 3 2"'
_cell_length_a 8.6118
_cell_length_b 8.6118
_cell_length_c 18.3559
_cell_angle_alpha 90.00
_cell_angle_beta 90.00
_cell_angle_gamma 120.00
loop_
_atom_site_label
_atom_site_type_symbol
_atom_site_fract_x
_atom_site_fract_y
_atom_site_fract_z
Ba1 Ba 0.0000 0.0000 0.1105
Ag1 Ag 0.0000 0.0000 0.5000
Ge1 Ge 0.0000 0.5000 0.0000
Pd1 Pd 0.0064 0.5032 0.8706
Pd2 Pd 0.0385 0.5193 0.3678
# - calculated formation energy (meV per atom) = -123
# - total magnetization (μB/atom) = 0.00
# - Fermi-level density of states (states/eV/f.u.) = 6.44
# - raw total energy (eV per cell) = -255.24